(1)
The following is a PBE calculation of a geometry-optimized PmNd4Y3 structure, from the Alexandria database.

Calculated values
energy relative to the lowest polymorph listed for this composition: 0 meV/atom

abc: 11.697 7.380 6.371
angles: 90.00 90.00 90.00
Fractional coordinates of all 16 atoms:
1 Pm 0.000 0.126 0.000
2 Pm 0.500 0.874 0.500
3 Nd 0.000 0.373 0.506
4 Nd 0.000 0.627 0.999
5 Nd 0.248 0.625 0.334
6 Nd 0.252 0.375 0.834
7 Nd 0.500 0.373 0.499
8 Nd 0.500 0.627 0.006
9 Nd 0.748 0.375 0.834
10 Nd 0.752 0.625 0.334
11 Y 0.000 0.878 0.499
12 Y 0.250 0.122 0.334
13 Y 0.250 0.878 0.834
14 Y 0.500 0.122 0.999
15 Y 0.750 0.122 0.334
16 Y 0.750 0.878 0.834

---

(2)
The following is a PBE calculation of a geometry-optimized Pm6Nd2Y3 structure, from the Alexandria database.

Calculated values
energy relative to the lowest polymorph listed for this composition: 0 meV/atom

abc: 6.253 6.253 11.826
angles: 95.11 95.11 120.07
Fractional coordinates of all 11 atoms:
1 Pm 0.084 0.416 0.751
2 Pm 0.249 0.249 0.249
3 Pm 0.416 0.084 0.751
4 Pm 0.584 0.916 0.249
5 Pm 0.751 0.751 0.751
6 Pm 0.916 0.584 0.249
7 Nd 0.333 0.667 0.500
8 Nd 0.667 0.333 0.500
9 Y 0.165 0.835 0.000
10 Y 0.500 0.500 0.000
11 Y 0.835 0.165 0.000

---

(3)
The following is a PBE calculation of a geometry-optimized Pm2Nd2Y5 structure, from the Alexandria database.

Calculated values
energy relative to the lowest polymorph listed for this composition: 0 meV/atom

abc: 8.803 3.619 9.758
angles: 90.00 103.04 90.00
Fractional coordinates of all 9 atoms:
1 Pm 0.161 0.000 0.112
2 Pm 0.839 0.000 0.888
3 Nd 0.474 0.500 0.318
4 Nd 0.526 0.500 0.682
5 Y 0.149 0.500 0.782
6 Y 0.185 0.000 0.469
7 Y 0.500 0.000 0.000
8 Y 0.815 0.000 0.531
9 Y 0.851 0.500 0.218

---

(4)
The following is a PBE calculation of a geometry-optimized Pm3NdY5 structure, from the Alexandria database.

abc: 9.868 9.868 7.107
angles: 90.00 90.00 120.00
Fractional coordinates of all 18 atoms:
1 Pm 0.000 0.352 0.250
2 Pm 0.000 0.648 0.750
3 Pm 0.352 0.000 0.250
4 Pm 0.352 0.352 0.750
5 Pm 0.648 0.000 0.750
6 Pm 0.648 0.648 0.250
7 Nd 0.000 0.000 0.000
8 Nd 0.000 0.000 0.500
9 Y 0.000 0.319 0.750
10 Y 0.000 0.681 0.250
11 Y 0.319 0.000 0.750
12 Y 0.319 0.319 0.250
13 Y 0.333 0.667 0.000
14 Y 0.333 0.667 0.500
15 Y 0.667 0.333 0.000
16 Y 0.667 0.333 0.500
17 Y 0.681 0.000 0.250
18 Y 0.681 0.681 0.750

---

(5)
The following is a PBE calculation of a geometry-optimized Pm2Nd3Y5 structure, from the Alexandria database.

Calculated values
energy relative to the lowest polymorph listed for this composition: 216 meV/atom

abc: 12.532 12.532 12.532
angles: 135.68 55.70 148.00
Fractional coordinates of all 20 atoms:
1 Pm 0.123 0.099 0.221
2 Pm 0.377 0.599 0.976
3 Pm 0.623 0.401 0.024
4 Pm 0.877 0.901 0.779
5 Nd 0.130 0.748 0.878
6 Nd 0.250 0.250 0.000
7 Nd 0.370 0.248 0.618
8 Nd 0.630 0.752 0.382
9 Nd 0.750 0.750 0.000
10 Nd 0.870 0.252 0.122
11 Y 0.002 0.250 0.752
12 Y 0.127 0.410 0.537
13 Y 0.250 0.750 0.500
14 Y 0.373 0.910 0.283
15 Y 0.498 0.250 0.248
16 Y 0.502 0.750 0.752
17 Y 0.627 0.090 0.717
18 Y 0.750 0.250 0.500
19 Y 0.873 0.590 0.463
20 Y 0.998 0.750 0.248

---

(6)
The following is a PBE calculation of a geometry-optimized Pm2Nd9Y structure, from the Alexandria database.

abc: 5.188 5.188 15.552
angles: 90.00 90.00 90.00
Fractional coordinates of all 12 atoms:
1 Pm 0.000 0.000 0.167
2 Pm 0.000 0.000 0.833
3 Nd 0.000 0.500 0.000
4 Nd 0.000 0.500 0.334
5 Nd 0.000 0.500 0.666
6 Nd 0.500 0.000 0.000
7 Nd 0.500 0.000 0.334
8 Nd 0.500 0.000 0.666
9 Nd 0.500 0.500 0.167
10 Nd 0.500 0.500 0.500
11 Nd 0.500 0.500 0.833
12 Y 0.000 0.000 0.500

---

(7)
The following is a PBE calculation of a geometry-optimized PmNd7Y3 structure, from the Alexandria database.

Calculated values
energy relative to the lowest polymorph listed for this composition: 0 meV/atom

abc: 8.621 8.621 5.958
angles: 110.19 110.19 83.15
Fractional coordinates of all 11 atoms:
1 Pm 0.000 0.000 0.000
2 Nd 0.000 0.000 0.500
3 Nd 0.096 0.511 0.804
4 Nd 0.288 0.288 0.290
5 Nd 0.489 0.904 0.196
6 Nd 0.511 0.096 0.804
7 Nd 0.712 0.712 0.710
8 Nd 0.904 0.489 0.196
9 Y 0.298 0.702 0.500
10 Y 0.500 0.500 0.000
11 Y 0.702 0.298 0.500

---

(8)
The following is a PBE calculation of a geometry-optimized PmNd6Y2 structure, from the Alexandria database.

Calculated values
energy relative to the lowest polymorph listed for this composition: 61 meV/atom

abc: 7.586 7.586 6.294
angles: 90.00 90.00 120.00
Fractional coordinates of all 9 atoms:
1 Pm 0.000 0.000 0.000
2 Nd 0.188 0.376 0.292
3 Nd 0.188 0.812 0.292
4 Nd 0.376 0.188 0.708
5 Nd 0.624 0.812 0.292
6 Nd 0.812 0.188 0.708
7 Nd 0.812 0.624 0.708
8 Y 0.333 0.667 0.787
9 Y 0.667 0.333 0.213

---

(9)
The following is a PBE calculation of a geometry-optimized Pm2NdY structure, from the Alexandria database.

Calculated values
energy relative to the lowest polymorph listed for this composition: 5 meV/atom

abc: 5.143 5.143 5.151
angles: 90.00 90.00 90.00
Fractional coordinates of all 4 atoms:
1 Pm 0.000 0.500 0.000
2 Pm 0.500 0.000 0.000
3 Nd 0.000 0.000 0.500
4 Y 0.500 0.500 0.500

---

(10)
The following is a PBE calculation of a geometry-optimized Pm5Nd2Y3 structure, from the Alexandria database.

abc: 9.469 9.469 9.815
angles: 108.67 108.67 109.13
Fractional coordinates of all 20 atoms:
1 Pm 0.031 0.969 0.750
2 Pm 0.113 0.354 0.724
3 Pm 0.232 0.768 0.750
4 Pm 0.272 0.728 0.250
5 Pm 0.354 0.113 0.224
6 Pm 0.646 0.887 0.776
7 Pm 0.728 0.272 0.750
8 Pm 0.768 0.232 0.250
9 Pm 0.887 0.646 0.276
10 Pm 0.969 0.031 0.250
11 Nd 0.227 0.477 0.445
12 Nd 0.477 0.227 0.945
13 Nd 0.523 0.773 0.055
14 Nd 0.773 0.523 0.555
15 Y 0.034 0.279 0.047
16 Y 0.279 0.034 0.547
17 Y 0.481 0.519 0.250
18 Y 0.519 0.481 0.750
19 Y 0.721 0.966 0.453
20 Y 0.966 0.721 0.953

---

(11)
The following is a PBE calculation of a geometry-optimized Pm6NdY5 structure, from the Alexandria database.

Calculated values
energy relative to the lowest polymorph listed for this composition: 0 meV/atom

abc: 6.279 6.279 11.943
angles: 95.03 95.03 120.00
Fractional coordinates of all 12 atoms:
1 Pm 0.083 0.417 0.751
2 Pm 0.250 0.250 0.249
3 Pm 0.417 0.083 0.751
4 Pm 0.583 0.917 0.249
5 Pm 0.750 0.750 0.751
6 Pm 0.917 0.583 0.249
7 Nd 0.000 0.000 0.500
8 Y 0.167 0.833 0.000
9 Y 0.333 0.667 0.500
10 Y 0.500 0.500 0.000
11 Y 0.667 0.333 0.500
12 Y 0.833 0.167 0.000

---

(12)
The following is a PBE calculation of a geometry-optimized Pm2NdY structure, from the Alexandria database.

Calculated values
energy relative to the lowest polymorph listed for this composition: 124 meV/atom

abc: 5.792 5.792 5.792
angles: 60.00 60.00 60.00
Fractional coordinates of all 4 atoms:
1 Pm 0.250 0.250 0.250
2 Pm 0.750 0.750 0.750
3 Nd 0.000 0.000 0.000
4 Y 0.500 0.500 0.500

---

no.,total magnetization (μB/atom),calculated density (g/cm³),DFT formation energy (eV/f.u.)
1,0.00,5.970,0.2
2,0.00,6.010,1.9
3,0.00,5.610,0.3
4,0.00,5.673,0.5
5,0.00,5.356,3.9
6,0.00,6.654,0.2
7,0.01,6.051,2.4
8,0.12,6.289,1.9
9,0.00,6.377,0.1
10,0.00,6.134,1.9
11,0.00,6.034,0.1
12,0.00,6.324,0.5